FeSb2TeF after structural relaxation. Source: the Alexandria database, functional PBE+U.

a = 5.086 Å, b = 5.086 Å, c = 5.087 Å
α = 90.00°, β = 90.00°, γ = 90.00°
Fractional coordinates of all 5 atoms:
Fe  0.000  0.000  0.000
Sb  0.000  0.500  0.000
Sb  0.500  0.000  0.000
Te  0.000  0.000  0.500
F  0.500  0.500  0.500

Summary:
DFT total energy = -3.4854 eV per atom
Space-group type = P4/mmm (123)